This record from Alexandria describes a relaxed structure of Ba8H2Pd3. The functional is PBE-GGA.

Cell lengths 15.477, 9.103, 7.923 Å; angles 90.00, 109.80, 90.00 degrees
Space group C2/m (No. 12)
Unique sites:
Ba 0.122 0.242 0.244
Ba 0.123 0.500 0.742
Ba 0.125 0.000 0.764
H 0.189 0.000 0.129
Pd 0.000 0.240 0.500
Pd 0.000 0.500 0.000

Values from the calculation:
- Uncorrected energy: -3.279 eV per atom
- Density of states at the Fermi level: 13.77 states/eV per cell